Entry 1:
Below is a relaxed Cs3AgH2 crystal, with properties calculated at the PBE level.

Cell lengths 7.098, 8.489, 9.371 Å; angles 106.04, 90.00, 114.71 degrees
Fractional positions:
Cs (0.499, 0.000, 0.250)
Cs (0.805, 0.608, 0.902)
Cs (0.197, 0.392, 0.598)
Cs (0.501, 0.000, 0.750)
Cs (0.195, 0.392, 0.098)
Cs (0.803, 0.608, 0.402)
H (0.335, 0.666, 0.417)
H (0.331, 0.666, 0.917)
H (0.669, 0.334, 0.083)
H (0.665, 0.334, 0.583)
Ag (0.999, 0.000, 0.250)
Ag (0.001, 0.000, 0.750)

DFT total energy	-12.4	eV per formula unit
size of the total moment	0.000	μB/f.u.
mass density	3.457	g cm⁻³

=====

Entry 2:
Below is a relaxed Cs2Ag2H5 crystal, with properties calculated at the PBE level.

Cell lengths 4.003, 5.930, 7.472 Å; angles 100.79, 90.00, 109.73 degrees
Fractional positions:
H (0.106, 0.212, 0.664)
H (0.294, 0.587, 0.097)
H (0.000, 0.000, 0.000)
H (0.706, 0.413, 0.903)
H (0.894, 0.788, 0.336)
Cs (0.599, 0.198, 0.324)
Cs (0.401, 0.802, 0.676)
Ag (0.839, 0.678, 0.095)
Ag (0.161, 0.322, 0.905)

DFT total energy	-24.1	eV per formula unit
size of the total moment	0.000	μB/f.u.
mass density	4.939	g cm⁻³

=====

Entry 3:
Below is a relaxed Cs3Ag5H12 crystal, with properties calculated at the PBE level.

Cell lengths 11.647, 11.647, 11.647 Å; angles 109.47, 109.47, 109.47 degrees
Fractional positions:
Cs (0.250, 0.625, 0.875)
Cs (0.625, 0.250, 0.375)
Cs (0.375, 0.625, 0.250)
Cs (0.250, 0.125, 0.375)
Cs (0.750, 0.875, 0.625)
Cs (0.375, 0.750, 0.625)
Cs (0.750, 0.375, 0.125)
Cs (0.625, 0.375, 0.750)
Cs (0.125, 0.875, 0.750)
Cs (0.875, 0.125, 0.250)
Cs (0.125, 0.250, 0.875)
Cs (0.875, 0.750, 0.125)
H (0.077, 0.180, 0.155)
H (0.975, 0.578, 0.655)
H (0.103, 0.923, 0.078)
H (0.680, 0.525, 0.603)
H (0.078, 0.423, 0.103)
H (0.155, 0.680, 0.077)
H (0.603, 0.578, 0.423)
H (0.845, 0.320, 0.923)
H (0.422, 0.397, 0.077)
H (0.923, 0.103, 0.578)
H (0.077, 0.897, 0.422)
H (0.820, 0.897, 0.975)
H (0.655, 0.078, 0.975)
H (0.578, 0.603, 0.923)
H (0.475, 0.320, 0.897)
H (0.155, 0.475, 0.578)
H (0.475, 0.155, 0.078)
H (0.922, 0.577, 0.897)
H (0.320, 0.845, 0.423)
H (0.577, 0.922, 0.397)
H (0.397, 0.975, 0.320)
H (0.103, 0.180, 0.525)
H (0.025, 0.422, 0.345)
H (0.655, 0.577, 0.180)
H (0.923, 0.820, 0.845)
H (0.180, 0.077, 0.655)
H (0.897, 0.820, 0.475)
H (0.578, 0.975, 0.155)
H (0.525, 0.845, 0.922)
H (0.897, 0.077, 0.922)
H (0.345, 0.922, 0.025)
H (0.680, 0.155, 0.577)
H (0.180, 0.103, 0.025)
H (0.422, 0.025, 0.845)
H (0.922, 0.345, 0.525)
H (0.320, 0.475, 0.397)
H (0.525, 0.680, 0.103)
H (0.603, 0.025, 0.680)
H (0.577, 0.655, 0.680)
H (0.397, 0.422, 0.577)
H (0.078, 0.655, 0.475)
H (0.345, 0.423, 0.820)
H (0.975, 0.397, 0.820)
H (0.820, 0.923, 0.345)
H (0.423, 0.345, 0.320)
H (0.845, 0.525, 0.422)
H (0.423, 0.078, 0.603)
H (0.025, 0.603, 0.180)
Ag (0.500, 0.000, 0.000)
Ag (0.875, 0.625, 0.750)
Ag (0.375, 0.250, 0.125)
Ag (0.125, 0.375, 0.250)
Ag (0.750, 0.625, 0.375)
Ag (0.250, 0.375, 0.625)
Ag (0.500, 0.000, 0.500)
Ag (0.000, 0.000, 0.000)
Ag (0.500, 0.500, 0.500)
Ag (0.375, 0.125, 0.750)
Ag (0.625, 0.750, 0.875)
Ag (0.500, 0.500, 0.000)
Ag (0.125, 0.750, 0.375)
Ag (0.625, 0.875, 0.250)
Ag (0.000, 0.000, 0.500)
Ag (0.750, 0.125, 0.875)
Ag (0.250, 0.875, 0.125)
Ag (0.875, 0.250, 0.625)
Ag (0.000, 0.500, 0.500)
Ag (0.000, 0.500, 0.000)

DFT total energy	-51.7	eV per formula unit
size of the total moment	0.000	μB/f.u.
mass density	5.189	g cm⁻³

=====

Entry 4:
Below is a relaxed Cs2AgH4 crystal, with properties calculated at the PBE level.

Cell lengths 5.911, 5.921, 11.070 Å; angles 90.00, 118.73, 90.00 degrees
Fractional positions:
Cs (0.762, 0.750, 0.019)
Cs (0.151, 0.250, 0.383)
Cs (0.238, 0.250, 0.981)
Cs (0.849, 0.750, 0.617)
H (0.684, 0.250, 0.632)
H (0.518, 0.960, 0.738)
H (0.482, 0.460, 0.262)
H (0.673, 0.250, 0.936)
H (0.327, 0.750, 0.064)
H (0.316, 0.750, 0.368)
H (0.482, 0.040, 0.262)
H (0.518, 0.540, 0.738)
Ag (0.581, 0.250, 0.757)
Ag (0.419, 0.750, 0.243)

DFT total energy	-17.8	eV per formula unit
size of the total moment	0.000	μB/f.u.
mass density	3.692	g cm⁻³

=====

Entry 5:
Below is a relaxed CsAgH2 crystal, with properties calculated at the PBE level.

Cell lengths 4.984, 4.984, 4.984 Å; angles 60.00, 60.00, 60.00 degrees
Fractional positions:
Ag (0.000, 0.000, 0.000)
H (0.250, 0.250, 0.250)
H (0.750, 0.750, 0.750)
Cs (0.500, 0.500, 0.500)

size of the total moment	0.000	μB/f.u.
excess energy over the best structure of this formula in the dataset	811	meV per atom
mass density	4.604	g cm⁻³

=====

Entry 6:
Below is a relaxed CsAgH crystal, with properties calculated at the PBE level.

Cell lengths 3.929, 5.431, 8.381 Å; angles 71.30, 103.56, 90.00 degrees
Fractional positions:
H (0.435, 0.313, 0.869)
H (0.565, 0.687, 0.131)
Ag (0.684, 0.568, 0.367)
Ag (0.316, 0.432, 0.633)
Cs (0.905, 0.844, 0.810)
Cs (0.095, 0.156, 0.190)

DFT total energy	-7.1	eV per formula unit
size of the total moment	0.000	μB/f.u.
mass density	4.892	g cm⁻³

=====

Entry 7:
Below is a relaxed Cs4AgH2 crystal, with properties calculated at the PBE level.

Cell lengths 6.852, 6.852, 9.826 Å; angles 69.59, 69.59, 90.00 degrees
Fractional positions:
Ag (0.000, 0.000, 0.000)
Cs (0.764, 0.764, 0.472)
Cs (0.500, 0.000, 0.000)
Cs (0.236, 0.236, 0.528)
Cs (0.000, 0.500, 0.000)
H (0.600, 0.600, 0.799)
H (0.400, 0.400, 0.201)

size of the total moment	0.000	μB/f.u.
excess energy over the best structure of this formula in the dataset	151	meV per atom
mass density	2.654	g cm⁻³

=====

Entry 8:
Below is a relaxed Cs4AgH2 crystal, with properties calculated at the PBE level.

Cell lengths 9.432, 9.432, 9.432 Å; angles 108.98, 108.98, 110.46 degrees
Fractional positions:
Cs (0.344, 0.162, 0.818)
Cs (0.474, 0.656, 0.818)
Cs (0.776, 0.093, 0.682)
Cs (0.412, 0.094, 0.318)
Cs (0.906, 0.588, 0.682)
Cs (0.906, 0.224, 0.318)
Cs (0.343, 0.526, 0.182)
Cs (0.838, 0.656, 0.182)
H (0.625, 0.875, 0.250)
H (0.625, 0.375, 0.250)
H (0.625, 0.375, 0.750)
H (0.125, 0.375, 0.750)
Ag (0.250, 0.750, 0.500)
Ag (0.000, 0.000, 0.000)

size of the total moment	0.750	μB/f.u.
excess energy over the best structure of this formula in the dataset	0	meV per atom
mass density	3.299	g cm⁻³